Below is an optimized crystal structure of PrY2PuS4, with properties calculated at the PBE-GGA level.

Cell lengths 6.8891, 3.9554, 6.9116 Å; angles 90.00, 109.14, 90.00 degrees
Closest atoms and distances in Å follow each position.
Space group P2/m (No. 10)
Asymmetric unit:
Pr 0.0000 0.0000 0.0000 (multiplicity 1)  6 S 2.87
Y 0.0000 0.5000 0.5000 (multiplicity 1)  6 S 2.80
Y 0.5000 0.0000 0.5000 (multiplicity 1)  6 S 2.75
Pu 0.5000 0.5000 0.0000 (multiplicity 1)  6 S 2.83
S 0.2528 0.0000 0.7425 (multiplicity 2)  3 Y 2.75-2.80, 2 Pu 2.83, 1 Pr 2.87
S 0.2595 0.5000 0.2621 (multiplicity 2)  3 Y 2.75-2.80, 1 Pu 2.83, 2 Pr 2.87

Output
- formation energy without anion corrections (eV per formula unit) = -15.71
- Fermi-level density of states (states/eV per cell) = 8.47